1.
A plane-wave DFT calculation with GGA-PBE was carried out for a relaxed structure of SnGeSb2Se.

Unit cell a=5.408 b=5.493 c=5.408 alpha=90.00 beta=90.00 gamma=90.00
Atoms (fractional coordinates):
1 Ge 0.500 0.500 0.500
2 Sb 0.000 0.000 0.500
3 Sn 0.000 0.500 0.000
4 Se 0.000 0.000 0.000
5 Sb 0.500 0.000 0.000

Its uncorrected formation energy is 3.3 eV per formula unit. For the calculated total energy, the calculation gives -17.040 eV/f.u.

=====

2.
A plane-wave DFT calculation with GGA-PBE was carried out for a relaxed structure of Tb4GeSbSe2.

Unit cell a=4.211 b=7.260 c=7.328 alpha=70.53 beta=90.00 gamma=90.00
Atoms (fractional coordinates):
1 Se 0.000 0.000 0.000
2 Se 0.500 0.000 0.500
3 Tb 0.500 0.743 0.263
4 Tb 0.000 0.250 0.263
5 Tb 0.000 0.750 0.737
6 Sb 0.500 0.500 0.000
7 Ge 0.000 0.500 0.500
8 Tb 0.500 0.257 0.737

Its uncorrected formation energy is -11.6 eV per formula unit. For the calculated total energy, the calculation gives -45.782 eV/f.u.

=====

3.
A plane-wave DFT calculation with GGA-PBE was carried out for a relaxed structure of Tb6GeSb3Se2.

Unit cell a=4.269 b=8.557 c=9.548 alpha=103.07 beta=102.92 gamma=90.00
Atoms (fractional coordinates):
1 Sb 0.500 0.500 0.000
2 Sb 0.831 0.167 0.661
3 Ge 0.500 0.000 0.000
4 Sb 0.169 0.833 0.339
5 Tb 0.001 0.236 0.003
6 Tb 0.332 0.421 0.665
7 Se 0.167 0.336 0.335
8 Tb 0.660 0.084 0.320
9 Tb 0.999 0.764 0.997
10 Tb 0.668 0.579 0.335
11 Tb 0.340 0.916 0.680
12 Se 0.833 0.664 0.665

Its uncorrected formation energy is -16.1 eV per formula unit. For the calculated total energy, the calculation gives -67.804 eV/f.u.

=====

4.
A plane-wave DFT calculation with GGA-PBE was carried out for a relaxed structure of Tb4GeSb2Se.

Unit cell a=4.261 b=7.432 c=7.391 alpha=70.77 beta=90.00 gamma=90.00
Atoms (fractional coordinates):
1 Se 0.500 0.500 0.000
2 Sb 0.000 0.000 0.000
3 Tb 0.500 0.266 0.741
4 Tb 0.000 0.263 0.254
5 Sb 0.500 0.000 0.500
6 Tb 0.500 0.734 0.259
7 Tb 0.000 0.737 0.746
8 Ge 0.000 0.500 0.500

Its uncorrected formation energy is -10.1 eV per formula unit. For the calculated total energy, the calculation gives -44.920 eV/f.u.

=====

5.
A plane-wave DFT calculation with GGA-PBE was carried out for a relaxed structure of Tb6Ge2SbSe3.

Unit cell a=4.192 b=8.397 c=9.357 alpha=102.55 beta=102.94 gamma=90.00
Atoms (fractional coordinates):
1 Sb 0.500 0.000 0.000
2 Ge 0.833 0.665 0.666
3 Ge 0.167 0.335 0.334
4 Tb 0.995 0.740 0.989
5 Se 0.835 0.166 0.671
6 Tb 0.670 0.577 0.341
7 Tb 0.005 0.260 0.011
8 Tb 0.670 0.099 0.341
9 Se 0.500 0.500 0.000
10 Tb 0.330 0.423 0.659
11 Se 0.165 0.834 0.329
12 Tb 0.330 0.901 0.659

Its uncorrected formation energy is -17.2 eV per formula unit. For the calculated total energy, the calculation gives -68.788 eV/f.u.

=====

6.
A plane-wave DFT calculation with GGA-PBE was carried out for a relaxed structure of GeSbTeSe.

Unit cell a=3.782 b=3.782 c=10.363 alpha=89.78 beta=89.78 gamma=60.01
Atoms (fractional coordinates):
1 Ge 0.238 0.238 0.160
2 Te 0.906 0.906 0.695
3 Se 0.572 0.572 0.024
4 Sb 0.241 0.241 0.504

Its uncorrected formation energy is 0.2 eV per formula unit. For the calculated total energy, the calculation gives -15.205 eV/f.u.

=====

7.
A plane-wave DFT calculation with GGA-PBE was carried out for a relaxed structure of GeSbTe2Se.

Unit cell a=5.418 b=5.418 c=5.456 alpha=90.00 beta=90.00 gamma=90.00
Atoms (fractional coordinates):
1 Te 0.000 0.500 0.000
2 Ge 0.500 0.500 0.500
3 Te 0.500 0.000 0.000
4 Sb 0.000 0.000 0.500
5 Se 0.000 0.000 0.000

The offset from the most stable computed form comes out at 0.0000 eV per atom. Its uncorrected formation energy is 3.3 eV per formula unit. For the calculated total energy, the calculation gives -15.253 eV/f.u.

=====

8.
A plane-wave DFT calculation with GGA-PBE was carried out for a relaxed structure of GeSbTe2Se.

Unit cell a=5.281 b=5.281 c=5.538 alpha=90.00 beta=90.00 gamma=90.00
Atoms (fractional coordinates):
1 Sb 0.000 0.000 0.500
2 Te 0.000 0.500 0.000
3 Te 0.500 0.000 0.000
4 Ge 0.000 0.000 0.000
5 Se 0.500 0.500 0.500

The offset from the most stable computed form comes out at 0.0451 eV per atom. Its uncorrected formation energy is 3.5 eV per formula unit. For the calculated total energy, the calculation gives -15.027 eV/f.u.

=====

9.
A plane-wave DFT calculation with GGA-PBE was carried out for a relaxed structure of Th4GeSb2Se.

Unit cell a=4.371 b=7.669 c=7.537 alpha=70.67 beta=90.00 gamma=90.00
Atoms (fractional coordinates):
1 Th 0.000 0.727 0.755
2 Th 0.000 0.273 0.245
3 Th 0.500 0.727 0.260
4 Th 0.500 0.273 0.740
5 Sb 0.000 0.000 0.000
6 Ge 0.000 0.500 0.500
7 Sb 0.500 0.000 0.500
8 Se 0.500 0.500 0.000

Its uncorrected formation energy is -8.5 eV per formula unit. For the calculated total energy, the calculation gives -54.539 eV/f.u.

=====

10.
A plane-wave DFT calculation with GGA-PBE was carried out for a relaxed structure of Th4Ge2SbSe.

Unit cell a=4.333 b=7.550 c=7.505 alpha=70.69 beta=90.00 gamma=90.00
Atoms (fractional coordinates):
1 Th 0.000 0.769 0.738
2 Ge 0.500 0.000 0.500
3 Th 0.500 0.767 0.249
4 Se 0.000 0.500 0.500
5 Th 0.000 0.231 0.262
6 Ge 0.000 0.000 0.000
7 Sb 0.500 0.500 0.000
8 Th 0.500 0.233 0.751

Its uncorrected formation energy is -8.3 eV per formula unit. For the calculated total energy, the calculation gives -54.848 eV/f.u.

=====

11.
A plane-wave DFT calculation with GGA-PBE was carried out for a relaxed structure of Th8Ge3SbSe4.

Unit cell a=8.649 b=8.520 c=8.649 alpha=120.50 beta=120.00 gamma=90.00
Atoms (fractional coordinates):
1 Th 0.742 0.249 0.007
2 Ge 0.500 0.500 0.500
3 Th 0.253 0.260 0.507
4 Ge 0.500 0.500 0.000
5 Th 0.735 0.751 0.993
6 Se 0.000 0.000 0.000
7 Th 0.747 0.740 0.493
8 Th 0.258 0.751 0.993
9 Th 0.265 0.249 0.007
10 Se 0.500 0.000 0.500
11 Th 0.258 0.751 0.516
12 Ge 0.000 0.500 0.500
13 Se 0.000 0.000 0.500
14 Se 0.500 0.000 0.000
15 Sb 0.000 0.500 0.000
16 Th 0.742 0.249 0.484

Its uncorrected formation energy is -19.5 eV per formula unit. For the calculated total energy, the calculation gives -110.755 eV/f.u.

=====

12.
A plane-wave DFT calculation with GGA-PBE was carried out for a relaxed structure of Th6Ge2Sb3Se.

Unit cell a=4.374 b=8.820 c=9.864 alpha=103.87 beta=102.81 gamma=90.00
Atoms (fractional coordinates):
1 Th 0.006 0.240 0.012
2 Th 0.673 0.570 0.345
3 Th 0.664 0.098 0.328
4 Th 0.336 0.902 0.672
5 Sb 0.500 0.500 0.000
6 Ge 0.166 0.332 0.332
7 Se 0.500 0.000 0.000
8 Th 0.327 0.430 0.655
9 Sb 0.835 0.167 0.669
10 Ge 0.834 0.668 0.668
11 Th 0.994 0.760 0.988
12 Sb 0.165 0.833 0.331

Its uncorrected formation energy is -12.0 eV per formula unit. For the calculated total energy, the calculation gives -81.648 eV/f.u.